The following is a PBE-GGA calculation of a relaxed structure of VCoW2Cl, from Alexandria via LeMat-Bulk.

Cell: 4.393 4.393 4.133 Å, 90.00 90.00 90.00°
Atoms (fractional coordinates):
V1 0.000 0.000 0.000
Co1 0.500 0.500 0.000
W1 0.000 0.500 0.500
W2 0.500 0.000 0.500
Cl1 0.000 0.000 0.500

Summary:
- Calculated volume: 79.8 Å³ per cell
- Formation energy (no corrections): 6.94 eV per formula unit

***

The following is a PBE-GGA calculation of a relaxed structure of SmGaAgAu, from Alexandria via LeMat-Bulk.

Cell: 4.904 4.904 4.904 Å, 60.00 60.00 60.00°
Atoms (fractional coordinates):
Sm1 0.000 0.000 0.000
Ga1 0.750 0.750 0.750
Ag1 0.500 0.500 0.500
Au1 0.250 0.250 0.250

Summary:
- Formation enthalpy at 0 K: -1.93 eV per formula unit
- Calculated volume: 83.4 Å³ per cell